# 1
First-principles (PBE) data for crystalline LiDyRh at its relaxed geometry, as listed in the Alexandria database.

Geometry as extended XYZ:
```
3
Lattice="4.374 0.000 0.000 -2.187 3.788 0.000 0.000 0.000 3.361" Properties=species:S:1:pos:R:3 pbc="T T T"
Li 0.000 0.000 0.000
Dy 2.187 1.263 1.680
Rh 0.000 2.525 0.000
```

Space group: P-6m2, No. 187
Formation energy (eV per atom): -0.4253
DOS(E_F) (states/eV per atom): 0.40
Energy relative to the lowest polymorph listed for this composition (eV/f.u.): 0.33
Calculated density (g cm⁻³): 8.12
Energy (eV/atom): -5.05

# 2
First-principles (PBE) data for crystalline ZrTaTe2 at its relaxed geometry, as listed in the Alexandria database.

Geometry as extended XYZ:
```
4
Lattice="1.739 1.004 8.634 -1.739 1.004 8.634 0.000 -2.008 8.634" Properties=species:S:1:pos:R:3 pbc="T T T"
Zr 0.000 0.000 0.000
Ta 0.000 0.000 12.951
Te 0.000 0.000 6.364
Te 0.000 0.000 19.539
```

Space group: R-3m, No. 166
Raw formation energy (meV/atom): -65
DOS(E_F) (states/eV per atom): 1.05
Energy relative to the lowest polymorph listed for this composition (eV/f.u.): 1.38
Calculated density (g cm⁻³): 9.68
Energy (eV/atom): -6.74

Repeat the second record exactly.
First-principles (PBE) data for crystalline ZrTaTe2 at its relaxed geometry, as listed in the Alexandria database.

Geometry as extended XYZ:
```
4
Lattice="1.739 1.004 8.634 -1.739 1.004 8.634 0.000 -2.008 8.634" Properties=species:S:1:pos:R:3 pbc="T T T"
Zr 0.000 0.000 0.000
Ta 0.000 0.000 12.951
Te 0.000 0.000 6.364
Te 0.000 0.000 19.539
```

Space group: R-3m, No. 166
Raw formation energy (meV/atom): -65
DOS(E_F) (states/eV per atom): 1.05
Energy relative to the lowest polymorph listed for this composition (eV/f.u.): 1.38
Calculated density (g cm⁻³): 9.68
Energy (eV/atom): -6.74